A plane-wave DFT calculation with GGA-PBE was carried out for Li2GaRh2 after structural relaxation.

Computed properties:
crystal system: orthorhombic
energy above the most stable polymorph in this dataset: 31 meV/atom

Geometry as CIF:
```
data_Li2GaRh2
_chemical_formula_sum 'Li2 Ga1 Rh2'
_cell_length_a 2.776
_cell_length_b 4.566
_cell_length_c 6.151
_cell_angle_alpha 111.79
_cell_angle_beta 103.04
_cell_angle_gamma 90.00
_space_group_name_H-M_alt 'P 1'
_space_group_IT_number 1
loop_
_space_group_symop_operation_xyz
'x,y,z'
loop_
_atom_site_label
_atom_site_type_symbol
_atom_site_fract_x
_atom_site_fract_y
_atom_site_fract_z
_atom_site_occupancy
Li1 Li 0.612 0.612 0.224 1
Li2 Li 0.388 0.388 0.776 1
Ga1 Ga 0.000 0.000 0.000 1
Rh1 Rh 0.307 0.807 0.615 1
Rh2 Rh 0.693 0.193 0.385 1
```

A plane-wave DFT calculation with GGA-PBE was carried out for Li8GaRh2 after structural relaxation.

Computed properties:
crystal system: monoclinic

Geometry as CIF:
```
data_Li8GaRh2
_chemical_formula_sum 'Li8 Ga1 Rh2'
_cell_length_a 4.290
_cell_length_b 6.940
_cell_length_c 6.940
_cell_angle_alpha 88.87
_cell_angle_beta 84.57
_cell_angle_gamma 84.57
_space_group_name_H-M_alt 'P 1'
_space_group_IT_number 1
loop_
_space_group_symop_operation_xyz
'x,y,z'
loop_
_atom_site_label
_atom_site_type_symbol
_atom_site_fract_x
_atom_site_fract_y
_atom_site_fract_z
_atom_site_occupancy
Li1 Li 0.706 0.105 0.616 1
Li2 Li 0.294 0.384 0.895 1
Li3 Li 0.903 0.260 0.260 1
Li4 Li 0.097 0.740 0.740 1
Li5 Li 0.706 0.616 0.105 1
Li6 Li 0.294 0.895 0.384 1
Li7 Li 0.302 0.411 0.411 1
Li8 Li 0.698 0.589 0.589 1
Ga1 Ga 0.000 0.000 0.000 1
Rh1 Rh 0.457 0.136 0.136 1
Rh2 Rh 0.543 0.864 0.864 1
```

For each record above, in turn, the calculated calculated formation energy values are -0.23; -0.02 eV per atom.
For each record above, in turn, the calculated E_tot values are -4.546; -3.028 eV/atom.
For each record above, in turn, the calculated N(E_F) values are 3.261; 2.942 states/eV per cell.